Here is crystalline RbPa2CoO8 at its relaxed geometry from the Alexandria database. Energies are from GGA+U.

Output
Crystal system: trigonal
Total DFT energy (no corrections), Ry/atom: -0.564

Cell and atoms, written as POSCAR:
```
RbPa2CoO8
1.0
5.068 0.000 0.000
-2.534 4.389 0.000
0.000 0.000 8.371
O Co Pa Rb
8 1 2 1
Direct
0.828 0.655 0.878
0.345 0.172 0.878
0.333 0.667 0.644
0.667 0.333 0.356
0.172 0.828 0.122
0.655 0.828 0.122
0.172 0.345 0.122
0.828 0.172 0.878
0.000 0.000 0.000
0.333 0.667 0.870
0.667 0.333 0.130
0.000 0.000 0.500
```